Entry 1:
The following is a DFT calculation (PBE-GGA) of a geometry-optimized CdSi3Pt3 structure.

a b c (Å): 6.671 6.671 6.671
angles (deg): 90.00 90.00 90.00
Fractional positions:
Si 0.250 0.000 0.500
Si 0.000 0.500 0.250
Si 0.500 0.750 0.000
Si 0.750 0.000 0.500
Si 0.000 0.500 0.750
Si 0.500 0.250 0.000
Pt 0.000 0.250 0.500
Pt 0.000 0.750 0.500
Pt 0.500 0.000 0.750
Pt 0.750 0.500 0.000
Pt 0.500 0.000 0.250
Pt 0.250 0.500 0.000
Cd 0.500 0.500 0.500
Cd 0.000 0.000 0.000

Formation energy (no corrections) (meV/atom): -210.9

***

Entry 2:
The following is a DFT calculation (PBE-GGA) of a geometry-optimized CdSi2Pt2 structure.

a b c (Å): 7.515 7.515 2.919
angles (deg): 90.00 90.00 90.00
Fractional positions:
Si 0.152 0.652 0.500
Si 0.652 0.848 0.500
Si 0.848 0.348 0.500
Si 0.348 0.152 0.500
Pt 0.362 0.862 0.000
Pt 0.862 0.638 0.000
Pt 0.638 0.138 0.000
Pt 0.138 0.362 0.000
Cd 0.000 0.000 0.000
Cd 0.500 0.500 0.000

Formation energy (no corrections) (meV/atom): -188.0

***

Entry 3:
The following is a DFT calculation (PBE-GGA) of a geometry-optimized Cd2SiPt structure.

a b c (Å): 3.178 4.823 5.721
angles (deg): 55.59 90.00 90.00
Fractional positions:
Cd 0.000 0.000 0.000
Cd 0.500 0.500 0.000
Pt 0.500 0.500 0.500
Si 0.000 0.000 0.500

Formation energy (no corrections) (meV/atom): 89.8

***

Entry 4:
The following is a DFT calculation (PBE-GGA) of a geometry-optimized Cd2SiPt structure.

a b c (Å): 4.118 4.115 4.239
angles (deg): 90.00 90.00 90.00
Fractional positions:
Cd 0.000 0.000 0.000
Cd 0.500 0.500 0.000
Pt 0.500 0.000 0.500
Si 0.000 0.500 0.500

Formation energy (no corrections) (meV/atom): 54.8

***

Entry 5:
The following is a DFT calculation (PBE-GGA) of a geometry-optimized Cd2SiPt structure.

a b c (Å): 10.416 10.416 7.705
angles (deg): 47.47 47.47 90.00
Fractional positions:
Si 0.500 0.500 0.000
Si 0.250 0.750 0.500
Pt 0.000 0.000 0.000
Pt 0.750 0.250 0.500
Cd 0.875 0.125 0.250
Cd 0.875 0.625 0.250
Cd 0.375 0.125 0.750
Cd 0.875 0.125 0.750

Formation energy (no corrections) (meV/atom): -79.6

***

Entry 6:
The following is a DFT calculation (PBE-GGA) of a geometry-optimized CdSi2Pt structure.

a b c (Å): 7.616 7.616 7.616
angles (deg): 26.11 26.11 26.11
Fractional positions:
Cd 0.250 0.250 0.250
Pt 0.750 0.750 0.750
Si 0.016 0.016 0.016
Si 0.484 0.484 0.484

Formation energy (no corrections) (meV/atom): -52.1

***

Entry 7:
The following is a DFT calculation (PBE-GGA) of a geometry-optimized Cd2SiPt structure.

a b c (Å): 5.063 5.063 5.063
angles (deg): 131.01 131.01 71.79
Fractional positions:
Cd 0.000 0.000 0.000
Cd 0.250 0.750 0.500
Pt 0.500 0.500 0.000
Si 0.750 0.250 0.500

Formation energy (no corrections) (meV/atom): 53.0

***

Entry 8:
The following is a DFT calculation (PBE-GGA) of a geometry-optimized CdSi2Pt structure.

a b c (Å): 3.908 4.363 3.940
angles (deg): 90.00 90.00 90.00
Fractional positions:
Cd 0.500 0.000 0.500
Pt 0.000 0.500 0.500
Si 0.000 0.000 0.000
Si 0.500 0.500 0.000

Formation energy (no corrections) (meV/atom): 214.9

***

Entry 9:
The following is a DFT calculation (PBE-GGA) of a geometry-optimized Cd2SiPt structure.

a b c (Å): 6.429 6.429 6.429
angles (deg): 153.52 137.71 50.60
Fractional positions:
Cd 0.021 0.021 0.000
Cd 0.704 0.204 0.500
Pt 0.471 0.471 0.000
Si 0.304 0.804 0.500

Formation energy (no corrections) (meV/atom): -103.8

***

Entry 10:
The following is a DFT calculation (PBE-GGA) of a geometry-optimized Cd2SiPt structure.

a b c (Å): 6.384 5.129 2.971
angles (deg): 89.88 62.48 119.25
Fractional positions:
Cd 0.000 0.000 0.000
Cd 0.500 0.000 0.500
Pt 0.000 0.500 0.500
Si 0.500 0.500 0.000

Formation energy (no corrections) (meV/atom): 47.0

***

Entry 11:
The following is a DFT calculation (PBE-GGA) of a geometry-optimized Cd2SiPt structure.

a b c (Å): 3.314 3.305 6.944
angles (deg): 90.00 90.00 90.00
Fractional positions:
Cd 0.000 0.000 0.980
Cd 0.500 0.500 0.272
Pt 0.000 0.000 0.558
Si 0.500 0.500 0.689

Formation energy (no corrections) (meV/atom): -123.8

***

Entry 12:
The following is a DFT calculation (PBE-GGA) of a geometry-optimized CdSi2Pt structure.

a b c (Å): 4.974 4.974 4.974
angles (deg): 132.05 132.05 70.16
Fractional positions:
Cd 0.500 0.500 0.000
Pt 0.750 0.250 0.500
Si 0.000 0.000 0.000
Si 0.250 0.750 0.500

Formation energy (no corrections) (meV/atom): 206.7